# PBE Pr6S5, relaxed
# - Space group: C2/m
# - Crystal system: monoclinic
# - Raw formation energy: -1832 meV per atom
data_Pr6S5
_chemical_formula_sum 'Pr6 S5'
_symmetry_space_group_name_H-M 'P 1'
_symmetry_Int_Tables_number 1
_cell_length_a 7.072
_cell_length_b 7.072
_cell_length_c 7.085
_cell_angle_alpha 99.62
_cell_angle_beta 99.62
_cell_angle_gamma 119.67
loop_
_symmetry_equiv_pos_as_xyz
'x,y,z'
loop_
_atom_site_label
_atom_site_type_symbol
_atom_site_fract_x
_atom_site_fract_y
_atom_site_fract_z
Pr1 Pr 0.077 0.417 0.747
Pr2 Pr 0.246 0.246 0.258
Pr3 Pr 0.417 0.077 0.747
Pr4 Pr 0.583 0.923 0.253
Pr5 Pr 0.754 0.754 0.742
Pr6 Pr 0.923 0.583 0.253
S1 S 0.000 0.000 0.500
S2 S 0.166 0.834 0.000
S3 S 0.333 0.667 0.500
S4 S 0.667 0.333 0.500
S5 S 0.834 0.166 0.000

---

# PBE LiYb2Pd, relaxed
# - Space group: Fm-3m
# - Crystal system: cubic
# - Formation energy: -0.447 eV per atom
data_LiYb2Pd
_chemical_formula_sum 'Li1 Yb2 Pd1'
_symmetry_space_group_name_H-M 'P 1'
_symmetry_Int_Tables_number 1
_cell_length_a 5.047
_cell_length_b 5.047
_cell_length_c 5.047
_cell_angle_alpha 60.00
_cell_angle_beta 60.00
_cell_angle_gamma 60.00
loop_
_symmetry_equiv_pos_as_xyz
'x,y,z'
loop_
_atom_site_label
_atom_site_type_symbol
_atom_site_fract_x
_atom_site_fract_y
_atom_site_fract_z
Li1 Li 0.000 0.000 0.000
Yb1 Yb 0.250 0.250 0.250
Yb2 Yb 0.750 0.750 0.750
Pd1 Pd 0.500 0.500 0.500

---

# PBE Ca3MgRu, relaxed
# - Space group: Pm-3m
# - Crystal system: cubic
# - Formation energy: 0.207 eV per atom
# - Energy above the most stable polymorph in this dataset: 0 meV per atom
data_Ca3MgRu
_chemical_formula_sum 'Ca3 Mg1 Ru1'
_symmetry_space_group_name_H-M 'P 1'
_symmetry_Int_Tables_number 1
_cell_length_a 5.474
_cell_length_b 5.474
_cell_length_c 5.474
_cell_angle_alpha 90.00
_cell_angle_beta 90.00
_cell_angle_gamma 90.00
loop_
_symmetry_equiv_pos_as_xyz
'x,y,z'
loop_
_atom_site_label
_atom_site_type_symbol
_atom_site_fract_x
_atom_site_fract_y
_atom_site_fract_z
Ca1 Ca 0.000 0.000 0.500
Ca2 Ca 0.000 0.500 0.000
Ca3 Ca 0.500 0.000 0.000
Mg1 Mg 0.500 0.500 0.500
Ru1 Ru 0.000 0.000 0.000

---

# PBE BeTcOs2, relaxed
# - Space group: Pm
# - Crystal system: monoclinic
# - Formation energy: 0.079 eV per atom
data_BeTcOs2
_chemical_formula_sum 'Be1 Tc1 Os2'
_symmetry_space_group_name_H-M 'P 1'
_symmetry_Int_Tables_number 1
_cell_length_a 2.725
_cell_length_b 3.906
_cell_length_c 5.146
_cell_angle_alpha 90.00
_cell_angle_beta 105.25
_cell_angle_gamma 90.00
loop_
_symmetry_equiv_pos_as_xyz
'x,y,z'
loop_
_atom_site_label
_atom_site_type_symbol
_atom_site_fract_x
_atom_site_fract_y
_atom_site_fract_z
Be1 Be 0.000 0.000 0.000
Tc1 Tc 0.409 0.500 0.809
Os1 Os 0.142 0.500 0.268
Os2 Os 0.768 0.000 0.519

---

| no. | density of states at the Fermi level (states/eV/cell) | energy (eV/cell) |
| --- | --- | --- |
| 1 | 4.90 | -69.465 |
| 2 | 28.56 | -11.945 |
| 3 | 4.56 | -15.838 |
| 4 | 2.65 | -36.235 |